A relaxed structure of Pr3Tl2GaRh3. Source: Alexandria, functional PBE-GGA.

Unit cell a=7.7781 b=7.7781 c=3.9612 alpha=90.00 beta=90.00 gamma=120.00
Space group P-62m (No. 189)
One atom of each set of equivalent atoms:
Pr: 0.0000 0.3741 0.0000 (multiplicity 3)
Tl: 0.3333 0.6667 0.5000 (multiplicity 2)
Ga: 0.0000 0.0000 0.0000 (multiplicity 1)
Rh: 0.0000 0.7797 0.5000 (multiplicity 3)

energy of formation	-0.4582	eV/atom
final energy	-5.364	eV per atom

---

A relaxed structure of Ba5Sb2PI. Source: Alexandria, functional PBE-GGA.

Unit cell a=5.934 b=8.596 c=17.376 alpha=90.00 beta=90.00 gamma=90.00
Space group Immm (No. 71)
One atom of each set of equivalent atoms:
Ba: 0.000 0.000 0.000 (multiplicity 2)
Ba: 0.000 0.272 0.353 (multiplicity 8)
Sb: 0.000 0.000 0.203 (multiplicity 4)
P: 0.000 0.500 0.500 (multiplicity 2)
I: 0.000 0.500 0.000 (multiplicity 2)

final energy	-3.823	eV per atom
uncorrected formation energy	-1.07	eV/atom

---

A relaxed structure of Tl2NiAs2. Source: Alexandria, functional PBE-GGA.

Unit cell a=3.613 b=3.613 c=17.828 alpha=90.00 beta=90.00 gamma=90.00
Space group I4/mmm (No. 139)
One atom of each set of equivalent atoms:
Tl: 0.000 0.000 0.087 (multiplicity 4)
Ni: 0.000 0.000 0.500 (multiplicity 2)
As: 0.000 0.500 0.250 (multiplicity 4)

energy of formation	0.3862	eV/atom
final energy	-3.576	eV per atom

---

- Which of these has the lowest final energy?
  Pr3Tl2GaRh3